(1)
# BeHS, optimized geometry, DFT GGA-PBE
# Space-group type ... No. 6
# ΔE to the lowest computed polymorph ... 123 meV/atom
data_BeHS
_cell_length_a 3.8208
_cell_length_b 3.4748
_cell_length_c 5.7167
_cell_angle_alpha 90.00
_cell_angle_beta 108.00
_cell_angle_gamma 90.00
_space_group_name_H-M_alt 'P 1'
_space_group_IT_number 1
loop_
_space_group_symop_operation_xyz
'x,y,z'
loop_
_atom_site_label
_atom_site_type_symbol
_atom_site_fract_x
_atom_site_fract_y
_atom_site_fract_z
_atom_site_occupancy
H1 H 0.2052 0.5000 0.5899 1
H2 H 0.1425 0.5000 0.4439 1
Be1 Be 0.9397 0.0000 0.0547 1
Be2 Be 0.5726 0.5000 0.4935 1
S1 S 0.5421 0.0000 0.2836 1
S2 S 0.8625 0.5000 0.8567 1

***

(2)
# RbPaTcO6, optimized geometry, DFT GGA-PBE
# Space-group type ... No. 74
# Formation energy from raw total energies ... -2.286 eV per atom
data_RbPaTcO6
_cell_length_a 7.9589
_cell_length_b 7.4188
_cell_length_c 7.6732
_cell_angle_alpha 118.91
_cell_angle_beta 121.24
_cell_angle_gamma 90.00
_space_group_name_H-M_alt 'P 1'
_space_group_IT_number 1
loop_
_space_group_symop_operation_xyz
'x,y,z'
loop_
_atom_site_label
_atom_site_type_symbol
_atom_site_fract_x
_atom_site_fract_y
_atom_site_fract_z
_atom_site_occupancy
Rb1 Rb 0.8530 0.6030 0.7059 1
Tc1 Tc 0.5000 0.5000 0.0000 1
O1 O 0.4515 0.6595 0.2464 1
Pa1 Pa 0.5000 0.0000 0.5000 1
O2 O 0.4657 0.7157 0.9314 1
O3 O 0.2051 0.9130 0.7536 1
O4 O 0.8287 0.0787 0.6574 1
O5 O 0.2051 0.3405 0.7536 1
Rb2 Rb 0.1470 0.3970 0.2941 1
O6 O 0.1713 0.9213 0.3426 1
O7 O 0.7949 0.0870 0.2464 1
Tc2 Tc 0.5000 0.0000 0.0000 1
Pa2 Pa 0.0000 0.0000 0.5000 1
O8 O 0.4515 0.0870 0.2464 1
O9 O 0.5485 0.9130 0.7536 1
O10 O 0.7949 0.6595 0.2464 1
O11 O 0.5343 0.2843 0.0686 1
O12 O 0.5485 0.3405 0.7536 1

***

(3)
# TeRh2Br, optimized geometry, DFT GGA-PBE
# Space-group type ... No. 6
# ΔE to the lowest computed polymorph ... 0 meV/atom
# Formation energy from raw total energies ... -0.107 eV per atom
data_TeRh2Br
_cell_length_a 3.7486
_cell_length_b 3.7959
_cell_length_c 6.3821
_cell_angle_alpha 89.69
_cell_angle_beta 90.00
_cell_angle_gamma 90.00
_space_group_name_H-M_alt 'P 1'
_space_group_IT_number 1
loop_
_space_group_symop_operation_xyz
'x,y,z'
loop_
_atom_site_label
_atom_site_type_symbol
_atom_site_fract_x
_atom_site_fract_y
_atom_site_fract_z
_atom_site_occupancy
Rh1 Rh 0.0000 0.0059 0.0397 1
Te1 Te 0.0000 0.5042 0.3088 1
Br1 Br 0.5000 0.9823 0.7789 1
Rh2 Rh 0.5000 0.0077 0.3725 1

***

(4)
# Tl3HgPb, optimized geometry, DFT GGA-PBE
# Space-group type ... No. 221
# ΔE to the lowest computed polymorph ... 251 meV/atom
# Energy of formation ... 0.33 eV/atom
data_Tl3HgPb
_cell_length_a 6.1289
_cell_length_b 6.1289
_cell_length_c 6.1289
_cell_angle_alpha 90.00
_cell_angle_beta 90.00
_cell_angle_gamma 90.00
_space_group_name_H-M_alt 'P 1'
_space_group_IT_number 1
loop_
_space_group_symop_operation_xyz
'x,y,z'
loop_
_atom_site_label
_atom_site_type_symbol
_atom_site_fract_x
_atom_site_fract_y
_atom_site_fract_z
_atom_site_occupancy
Hg1 Hg 0.5000 0.5000 0.5000 1
Tl1 Tl 0.5000 0.0000 0.0000 1
Tl2 Tl 0.0000 0.0000 0.5000 1
Tl3 Tl 0.0000 0.5000 0.0000 1
Pb1 Pb 0.0000 0.0000 0.0000 1

***

(5)
# LiCdCl2, optimized geometry, DFT GGA-PBE
# Space-group type ... No. 123
# ΔE to the lowest computed polymorph ... 184 meV/atom
# Formation energy from raw total energies ... -0.876 eV per atom
data_LiCdCl2
_cell_length_a 3.3610
_cell_length_b 3.3610
_cell_length_c 7.4286
_cell_angle_alpha 90.00
_cell_angle_beta 90.00
_cell_angle_gamma 90.00
_space_group_name_H-M_alt 'P 1'
_space_group_IT_number 1
loop_
_space_group_symop_operation_xyz
'x,y,z'
loop_
_atom_site_label
_atom_site_type_symbol
_atom_site_fract_x
_atom_site_fract_y
_atom_site_fract_z
_atom_site_occupancy
Cl1 Cl 0.0000 0.0000 0.0382 1
Cl2 Cl 0.0000 0.0000 0.4618 1
Li1 Li 0.5000 0.5000 0.2500 1
Cd1 Cd 0.5000 0.5000 0.7500 1

***

(6)
# Nb2ReRh, optimized geometry, DFT GGA-PBE
# Space-group type ... No. 71
# Energy of formation ... 0.52 eV/atom
data_Nb2ReRh
_cell_length_a 5.8140
_cell_length_b 5.8140
_cell_length_c 5.8140
_cell_angle_alpha 59.26
_cell_angle_beta 152.98
_cell_angle_gamma 128.34
_space_group_name_H-M_alt 'P 1'
_space_group_IT_number 1
loop_
_space_group_symop_operation_xyz
'x,y,z'
loop_
_atom_site_label
_atom_site_type_symbol
_atom_site_fract_x
_atom_site_fract_y
_atom_site_fract_z
_atom_site_occupancy
Re1 Re 0.0000 0.5000 0.5000 1
Rh1 Rh 0.0000 0.0000 0.0000 1
Nb1 Nb 0.0000 0.7549 0.7549 1
Nb2 Nb 0.0000 0.2451 0.2451 1

***

(7)
# Li2ZrSiOs, optimized geometry, DFT GGA-PBE
# Space-group type ... No. 123
# Formation energy from raw total energies ... 0.780 eV per atom
data_Li2ZrSiOs
_cell_length_a 4.2679
_cell_length_b 5.1080
_cell_length_c 4.2679
_cell_angle_alpha 90.00
_cell_angle_beta 90.00
_cell_angle_gamma 90.00
_space_group_name_H-M_alt 'P 1'
_space_group_IT_number 1
loop_
_space_group_symop_operation_xyz
'x,y,z'
loop_
_atom_site_label
_atom_site_type_symbol
_atom_site_fract_x
_atom_site_fract_y
_atom_site_fract_z
_atom_site_occupancy
Zr1 Zr 0.0000 0.5000 0.0000 1
Os1 Os 0.5000 0.5000 0.5000 1
Li1 Li 0.0000 0.0000 0.5000 1
Li2 Li 0.5000 0.0000 0.0000 1
Si1 Si 0.0000 0.0000 0.0000 1

***

(8)
# Nd2Ho6In, optimized geometry, DFT GGA-PBE
# Space-group type ... No. 71
# ΔE to the lowest computed polymorph ... 9 meV/atom
# Energy of formation ... -0.02 eV/atom
data_Nd2Ho6In
_cell_length_a 3.4951
_cell_length_b 10.1721
_cell_length_c 9.6054
_cell_angle_alpha 121.97
_cell_angle_beta 100.45
_cell_angle_gamma 90.00
_space_group_name_H-M_alt 'P 1'
_space_group_IT_number 1
loop_
_space_group_symop_operation_xyz
'x,y,z'
loop_
_atom_site_label
_atom_site_type_symbol
_atom_site_fract_x
_atom_site_fract_y
_atom_site_fract_z
_atom_site_occupancy
Ho1 Ho 0.8226 0.9847 0.6458 1
Ho2 Ho 0.1774 0.3389 0.3542 1
In1 In 0.0000 0.0000 0.0000 1
Ho3 Ho 0.5000 0.2941 0.0000 1
Ho4 Ho 0.8226 0.6611 0.6458 1
Ho5 Ho 0.5000 0.7059 0.0000 1
Nd1 Nd 0.8486 0.3487 0.6974 1
Nd2 Nd 0.1514 0.6513 0.3026 1
Ho6 Ho 0.1774 0.0153 0.3542 1